{
  "formula": "NaMgCuH4",
  "functional": "PBE",
  "state": "optimized geometry",
  "dos_at_fermi_per_ev_atom": 0.0000,
  "final_energy_ev_per_atom": -3.072,
  "m_tot_mub_per_fu": 0.0,
  "cell": [[-4.2157, 1.6150, 1.8161], [0.9792, -2.3156, 4.3322], [4.5733, 4.5155, 1.3799]],
  "species": ["Cu", "Cu", "Mg", "Mg", "Na", "Na", "H", "H", "H", "H", "H", "H", "H", "H"],
  "frac_coords": [[0.7851, 0.2500, 0.6815], [0.2149, 0.7500, 0.3185], [0.7730, 0.7500, 0.4673], [0.2270, 0.2500, 0.5327], [0.2847, 0.2500, 0.0679], [0.7153, 0.7500, 0.9321], [0.4061, 0.7500, 0.5658], [0.4348, 0.7500, 0.1747], [0.5939, 0.2500, 0.4342], [0.9971, 0.5047, 0.7200], [0.0029, 0.0047, 0.2800], [0.9971, 0.9953, 0.7200], [0.5652, 0.2500, 0.8253], [0.0029, 0.4953, 0.2800]]
}